(1)
This record from Alexandria describes a geometry-optimized CsHf6CCl15 structure. The functional is GGA-PBE.

## Properties
SG: Pmma, No. 51

a b c (Å): 9.9954 14.2140 18.8114
angles (deg): 90.00 90.00 90.00
Atoms (fractional coordinates):
Cs1 0.8018 0.2470 0.7500
Cs2 0.1982 0.7530 0.2500
Cs3 0.8018 0.7530 0.7500
Cs4 0.1982 0.2470 0.2500
Hf1 0.0898 0.5000 0.7500
Hf2 0.9102 0.5000 0.2500
Hf3 0.0846 0.0000 0.1099
Hf4 0.9154 0.0000 0.8901
Hf5 0.0846 0.0000 0.3901
Hf6 0.9154 0.0000 0.6099
Hf7 0.3122 0.3873 0.6649
Hf8 0.6878 0.6127 0.3351
Hf9 0.3122 0.6127 0.8351
Hf10 0.6878 0.3873 0.3351
Hf11 0.6878 0.3873 0.1649
Hf12 0.3122 0.6127 0.6649
Hf13 0.6878 0.6127 0.1649
Hf14 0.3122 0.3873 0.8351
Hf15 0.5366 0.5000 0.7500
Hf16 0.4634 0.5000 0.2500
Hf17 0.1482 0.1127 0.5319
Hf18 0.8518 0.8873 0.4681
Hf19 0.1482 0.8873 0.9681
Hf20 0.8518 0.1127 0.4681
Hf21 0.8518 0.1127 0.0319
Hf22 0.1482 0.8873 0.5319
Hf23 0.8518 0.8873 0.0319
Hf24 0.1482 0.1127 0.9681
C1 0.0000 0.0000 0.5000
C2 0.0000 0.0000 0.0000
C3 0.3133 0.5000 0.7500
C4 0.6867 0.5000 0.2500
Cl1 0.8173 0.0000 0.7500
Cl2 0.1827 0.0000 0.2500
Cl3 0.8120 0.5000 0.7500
Cl4 0.1880 0.5000 0.2500
Cl5 0.3122 0.5000 0.5617
Cl6 0.6878 0.5000 0.4383
Cl7 0.3122 0.5000 0.9383
Cl8 0.6878 0.5000 0.0617
Cl9 0.0000 0.2484 0.5000
Cl10 0.0000 0.7516 0.5000
Cl11 0.0000 0.7516 0.0000
Cl12 0.0000 0.2484 0.0000
Cl13 0.3195 0.2515 0.7500
Cl14 0.6805 0.7485 0.2500
Cl15 0.3195 0.7485 0.7500
Cl16 0.6805 0.2515 0.2500
Cl17 0.3167 0.2503 0.5679
Cl18 0.6833 0.7497 0.4321
Cl19 0.3167 0.7497 0.9321
Cl20 0.6833 0.2503 0.4321
Cl21 0.6833 0.2503 0.0679
Cl22 0.3167 0.7497 0.5679
Cl23 0.6833 0.7497 0.0679
Cl24 0.3167 0.2503 0.9321
Cl25 0.0693 0.1229 0.6583
Cl26 0.9307 0.8771 0.3417
Cl27 0.0693 0.8771 0.8417
Cl28 0.9307 0.1229 0.3417
Cl29 0.9307 0.1229 0.1583
Cl30 0.0693 0.8771 0.6583
Cl31 0.9307 0.8771 0.1583
Cl32 0.0693 0.1229 0.8417
Cl33 0.0610 0.3769 0.6558
Cl34 0.9390 0.6231 0.3442
Cl35 0.0610 0.6231 0.8442
Cl36 0.9390 0.3769 0.3442
Cl37 0.9390 0.3769 0.1558
Cl38 0.0610 0.6231 0.6558
Cl39 0.9390 0.6231 0.1558
Cl40 0.0610 0.3769 0.8442
Cl41 0.3280 0.0000 0.5711
Cl42 0.6720 0.0000 0.4289
Cl43 0.3280 0.0000 0.9289
Cl44 0.6720 0.0000 0.0711
Cl45 0.5640 0.3775 0.6542
Cl46 0.4360 0.6225 0.3458
Cl47 0.5640 0.6225 0.8458
Cl48 0.4360 0.3775 0.3458
Cl49 0.4360 0.3775 0.1542
Cl50 0.5640 0.6225 0.6542
Cl51 0.4360 0.6225 0.1542
Cl52 0.5640 0.3775 0.8458
Cl53 0.2616 0.1234 0.0884
Cl54 0.7384 0.8766 0.9116
Cl55 0.2616 0.8766 0.4116
Cl56 0.7384 0.1234 0.9116
Cl57 0.7384 0.1234 0.5884
Cl58 0.2616 0.8766 0.0884
Cl59 0.7384 0.8766 0.5884
Cl60 0.2616 0.1234 0.4116


(2)
This record from Alexandria describes a geometry-optimized Cs2HgCCl6 structure. The functional is GGA-PBE.

## Properties
SG: I4/mmm, No. 139

a b c (Å): 7.2367 7.2367 7.2334
angles (deg): 59.98 59.98 90.00
Atoms (fractional coordinates):
Cs1 0.7500 0.2500 0.5000
Cs2 0.2500 0.7500 0.5000
C1 0.5000 0.5000 0.0000
Hg1 0.0000 0.0000 0.0000
Cl1 0.2660 0.2660 0.4680
Cl2 0.7340 0.7340 0.5320
Cl3 0.2672 0.2672 0.0000
Cl4 0.7328 0.7328 0.0000
Cl5 0.7328 0.2672 0.0000
Cl6 0.2672 0.7328 0.0000


(3)
This record from Alexandria describes a geometry-optimized Cs2HgCCl structure. The functional is GGA-PBE.

## Properties
SG: P4/mmm, No. 123

a b c (Å): 7.1251 5.8075 7.1251
angles (deg): 90.00 90.00 90.00
Atoms (fractional coordinates):
Cs1 0.0000 0.0000 0.5000
Cs2 0.5000 0.0000 0.0000
C1 0.5000 0.5000 0.5000
Hg1 0.0000 0.0000 0.0000
Cl1 0.0000 0.5000 0.0000


(4)
This record from Alexandria describes a geometry-optimized Cs2CICl6 structure. The functional is GGA-PBE.

## Properties
SG: I4/mmm, No. 139

a b c (Å): 7.5623 7.5623 7.8878
angles (deg): 61.36 61.36 90.00
Atoms (fractional coordinates):
Cs1 0.7500 0.2500 0.5000
Cs2 0.2500 0.7500 0.5000
I1 0.0000 0.0000 0.0000
C1 0.5000 0.5000 0.0000
Cl1 0.2208 0.2208 0.5584
Cl2 0.7792 0.7792 0.4416
Cl3 0.3143 0.3143 0.0000
Cl4 0.6857 0.6857 0.0000
Cl5 0.6857 0.3143 0.0000
Cl6 0.3143 0.6857 0.0000


Which uncorrected energy belongs to each record? In order, -138.78, -27.79, -9.86, -27.89 eV per formula unit.